The following is a GGA-PBE calculation of a relaxed structure of Li2TeF, from the Alexandria database.

Lattice parameters (Å, degrees): 7.7495 7.7495 7.7495 27.13 27.13 27.13
Closest atoms and distances in Å follow each position.
Element x y z (fractional)
Li: 0.0761 0.0761 0.0761  1 F 1.70
Li: 0.9239 0.9239 0.9239  1 F 1.70
Te: 0.5000 0.5000 0.5000  6 Li 2.92
F: 0.0000 0.0000 0.0000  2 Li 1.70

ΔE to the lowest computed polymorph (eV per formula unit): 0.40
Energy relative to the elements, uncorrected (meV/atom): -1557
Spin magnetization (μB/cell): 0.0
Crystal system: trigonal
Electronic total energy (eV per cell): -15.070
Space group: R-3m

***

The following is a GGA-PBE calculation of a relaxed structure of PuGaHgBi, from the Alexandria database.

Lattice parameters (Å, degrees): 4.5001 4.6051 4.8304 90.00 90.00 90.00
Closest atoms and distances in Å follow each position.
Element x y z (fractional)
Pu: 0.0000 0.0000 0.0000  4 Bi 3.22, 4 Ga 3.30, 4 Hg 3.34
Ga: 0.5000 0.0000 0.5000  4 Hg 3.22, 4 Pu 3.30, 4 Bi 3.34
Hg: 0.0000 0.5000 0.5000  4 Ga 3.22, 4 Bi 3.30, 4 Pu 3.34
Bi: 0.5000 0.5000 0.0000  4 Pu 3.22, 4 Hg 3.30, 4 Ga 3.34

ΔE to the lowest computed polymorph (eV per formula unit): 0.00
Formation enthalpy at 0 K (eV/atom): -0.24
Spin magnetization (μB/cell): 5.7
Crystal system: orthorhombic
Electronic total energy (eV per cell): -22.495
Space group: Pmmm

***

The following is a GGA-PBE calculation of a relaxed structure of Hg2AsAu, from the Alexandria database.

Lattice parameters (Å, degrees): 6.1811 6.1811 5.5477 116.28 116.28 27.35
Closest atoms and distances in Å follow each position.
Element x y z (fractional)
Hg: 0.2437 0.2437 0.2438  6 Hg 2.92-3.14, 2 Au 2.99, 2 As 3.11
Hg: 0.7563 0.7563 0.7562  6 Hg 2.92-3.14, 2 Au 2.99, 2 As 3.11
As: 0.0000 0.0000 0.5000  2 As 2.92, 4 Hg 3.11, 4 Au 3.14
Au: 0.5000 0.5000 0.0000  2 Au 2.92, 4 Hg 2.99, 4 As 3.14

ΔE to the lowest computed polymorph (eV per formula unit): 0.49
Formation enthalpy at 0 K (eV/atom): 0.25
Spin magnetization (μB/cell): 0.0
Crystal system: monoclinic
Electronic total energy (eV per cell): -7.538
Space group: C2/m

***

The following is a GGA-PBE calculation of a relaxed structure of LiSbTe, from the Alexandria database.

Lattice parameters (Å, degrees): 5.5560 5.5560 3.0479 90.00 90.00 120.00
Closest atoms and distances in Å follow each position.
Element x y z (fractional)
Li: 0.0000 0.0000 0.0000  2 Li 3.05
Sb: 0.3333 0.6667 0.4963  2 Sb 3.05, 3 Te 3.21
Te: 0.6667 0.3333 0.4938  2 Te 3.05, 3 Sb 3.21

ΔE to the lowest computed polymorph (eV per formula unit): 1.01
Energy relative to the elements, uncorrected (meV/atom): -128
Spin magnetization (μB/cell): 0.0
Crystal system: trigonal
Electronic total energy (eV per cell): -9.563
Space group: P3m1

***

The following is a GGA-PBE calculation of a relaxed structure of Tl2InIr, from the Alexandria database.

Lattice parameters (Å, degrees): 5.0553 5.0553 5.0553 60.00 60.00 60.00
Closest atoms and distances in Å follow each position.
Element x y z (fractional)
Tl: 0.2500 0.2500 0.2500  4 In 3.10, 4 Ir 3.10
Tl: 0.7500 0.7500 0.7500  4 In 3.10, 4 Ir 3.10
In: 0.0000 0.0000 0.0000  8 Tl 3.10
Ir: 0.5000 0.5000 0.5000  8 Tl 3.10

ΔE to the lowest computed polymorph (eV per formula unit): 1.68
Formation enthalpy at 0 K (eV/atom): 0.51
Spin magnetization (μB/cell): 0.0
Crystal system: cubic
Electronic total energy (eV per cell): -14.293
Space group: Fm-3m

***

The following is a GGA-PBE calculation of a relaxed structure of CaMg2Au3, from the Alexandria database.

Lattice parameters (Å, degrees): 3.4378 3.4378 10.1803 90.00 90.00 90.00
Closest atoms and distances in Å follow each position.
Element x y z (fractional)
Ca: 0.0000 0.0000 0.0000  8 Au 3.16, 4 Ca 3.44, 2 Mg 3.51
Mg: 0.0000 0.0000 0.3444  8 Au 2.85-2.90, 1 Mg 3.17
Mg: 0.0000 0.0000 0.6556  8 Au 2.85-2.90, 1 Mg 3.17
Au: 0.5000 0.5000 0.1981  4 Mg 2.85, 1 Au 3.07, 4 Ca 3.16
Au: 0.5000 0.5000 0.5000  8 Mg 2.90, 2 Au 3.07
Au: 0.5000 0.5000 0.8019  4 Mg 2.85, 1 Au 3.07, 4 Ca 3.16

Formation enthalpy at 0 K (eV/atom): -0.66
Spin magnetization (μB/cell): 0.0
Crystal system: tetragonal
Electronic total energy (eV per cell): -18.982
Space group: P4/mmm

***

The following is a GGA-PBE calculation of a relaxed structure of SrLaGe2Pd5, from the Alexandria database.

Lattice parameters (Å, degrees): 4.4967 4.4967 8.7858 90.00 90.00 90.00
Closest atoms and distances in Å follow each position.
Element x y z (fractional)
Sr: 0.0000 0.0000 0.0000  12 Pd 3.04-3.18
La: 0.0000 0.0000 0.5000  8 Pd 3.25, 8 Ge 3.44
Ge: 0.5000 0.5000 0.3517  4 Pd 2.48, 1 Ge 2.61
Ge: 0.5000 0.5000 0.6483  4 Pd 2.48, 1 Ge 2.61
Pd: 0.0000 0.5000 0.2323  2 Ge 2.48
Pd: 0.0000 0.5000 0.7677  2 Ge 2.48
Pd: 0.5000 0.0000 0.2323  2 Ge 2.48
Pd: 0.5000 0.0000 0.7677  2 Ge 2.48
Pd: 0.5000 0.5000 0.0000  8 Pd 3.04, 2 Ge 3.09, 4 Sr 3.18

Formation enthalpy at 0 K (eV/atom): -0.70
Spin magnetization (μB/cell): 0.0
Crystal system: tetragonal
Electronic total energy (eV per cell): -48.105
Space group: P4/mmm

***

The following is a GGA-PBE calculation of a relaxed structure of LiSmFe, from the Alexandria database.

Lattice parameters (Å, degrees): 6.8261 6.8261 5.1011 99.84 99.84 32.81
Closest atoms and distances in Å follow each position.
Element x y z (fractional)
Li: 0.0860 0.0860 0.3169  3 Fe 2.48-2.75
Li: 0.9140 0.9140 0.6831  3 Fe 2.48-2.75
Sm: 0.3652 0.3652 0.1528  4 Fe 2.81-3.00
Sm: 0.6348 0.6348 0.8472  4 Fe 2.81-3.00
Fe: 0.2626 0.2626 0.5916  2 Fe 2.14
Fe: 0.7374 0.7374 0.4084  2 Fe 2.14

Formation enthalpy at 0 K (eV/atom): 0.18
Spin magnetization (μB/cell): 0.0
Crystal system: monoclinic
Electronic total energy (eV per cell): -29.087
Space group: C2/m

***

The following is a GGA-PBE calculation of a relaxed structure of Er6CuPd2, from the Alexandria database.

Lattice parameters (Å, degrees): 6.6462 7.2129 11.2602 90.00 121.17 90.00
Closest atoms and distances in Å follow each position.
Element x y z (fractional)
Er: 0.0825 0.0372 0.2440  1 Cu 2.79, 2 Pd 2.88
Er: 0.0825 0.4628 0.7440  1 Cu 2.79, 2 Pd 2.88
Er: 0.2141 0.6814 0.0694  1 Cu 2.73, 2 Pd 2.89-3.03
Er: 0.2141 0.8186 0.5694  1 Cu 2.73, 2 Pd 2.89-3.03
Er: 0.3801 0.1709 0.0628  1 Cu 2.71, 2 Pd 2.88-2.89
Er: 0.3801 0.3291 0.5628  1 Cu 2.71, 2 Pd 2.88-2.89
Er: 0.6199 0.6709 0.4372  1 Cu 2.71, 2 Pd 2.88-2.89
Er: 0.6199 0.8291 0.9372  1 Cu 2.71, 2 Pd 2.88-2.89
Er: 0.7859 0.1814 0.4306  1 Cu 2.73, 2 Pd 2.89-3.03
Er: 0.7859 0.3186 0.9306  1 Cu 2.73, 2 Pd 2.89-3.03
Er: 0.9175 0.5372 0.2560  1 Cu 2.79, 2 Pd 2.88
Er: 0.9175 0.9628 0.7560  1 Cu 2.79, 2 Pd 2.88
Cu: 0.5000 0.0000 0.5000  6 Er 2.71-2.79
Cu: 0.5000 0.5000 0.0000  6 Er 2.71-2.79
Pd: 0.3193 0.1213 0.7610  6 Er 2.88-3.03
Pd: 0.3193 0.3787 0.2610  6 Er 2.88-3.03
Pd: 0.6807 0.6213 0.7390  6 Er 2.88-3.03
Pd: 0.6807 0.8787 0.2390  6 Er 2.88-3.03

ΔE to the lowest computed polymorph (eV per formula unit): 0.48
Formation enthalpy at 0 K (eV/atom): -0.40
Spin magnetization (μB/cell): 0.0
Crystal system: monoclinic
Electronic total energy (eV per cell): -90.929
Space group: P2_1/c

***

The following is a GGA-PBE calculation of a relaxed structure of KBaPb2, from the Alexandria database.

Lattice parameters (Å, degrees): 6.5448 6.5448 3.6735 90.00 90.00 110.07
Closest atoms and distances in Å follow each position.
Element x y z (fractional)
K: 0.0000 0.0000 0.0000  2 K 3.67, 2 Ba 3.75, 8 Pb 3.75
Ba: 0.5000 0.5000 0.0000  2 Ba 3.67, 2 K 3.75, 8 Pb 3.75
Pb: 0.0000 0.5000 0.5000  4 Pb 3.67-3.75, 4 Ba 3.75, 4 K 3.75
Pb: 0.5000 0.0000 0.5000  4 Pb 3.67-3.75, 4 Ba 3.75, 4 K 3.75

ΔE to the lowest computed polymorph (eV per formula unit): 0.43
Formation enthalpy at 0 K (eV/atom): -0.27
Spin magnetization (μB/cell): 0.0
Crystal system: orthorhombic
Electronic total energy (eV per cell): -11.511
Space group: Cmmm